(1)
A plane-wave DFT calculation with GGA-PBE was carried out for Pm15Sm4Th after structural relaxation.

Summary:
Calculated volume: 685.42 Å³ per cell
Formation enthalpy at 0 K: 24 meV/atom
Calculated total energy: -0.357 Ry/atom
Crystal system: tetragonal

```
20
Lattice="5.158 0.000 0.000 0.000 5.158 0.000 0.000 0.000 25.765" Properties=species:S:1:pos:R:3 pbc="T T T"
Pm 2.579 2.579 0.000
Sm 0.000 0.000 15.457
Sm 0.000 0.000 20.620
Pm 2.579 2.579 10.309
Pm 0.000 2.579 7.720
Pm 2.579 0.000 7.720
Pm 2.579 2.579 20.595
Pm 2.579 2.579 5.169
Sm 0.000 0.000 10.308
Pm 2.579 0.000 12.882
Pm 2.579 0.000 18.044
Pm 0.000 2.579 2.525
Pm 2.579 0.000 2.525
Pm 2.579 0.000 23.240
Pm 0.000 2.579 23.240
Pm 2.579 2.579 15.455
Pm 0.000 2.579 12.882
Th 0.000 0.000 0.000
Pm 0.000 2.579 18.044
Sm 0.000 0.000 5.145
```



(2)
A plane-wave DFT calculation with GGA-PBE was carried out for Pm3Sm7Th after structural relaxation.

Summary:
Calculated volume: 384.50 Å³ per cell
Formation enthalpy at 0 K: 272 meV/atom
Calculated total energy: -0.346 Ry/atom
Crystal system: monoclinic

```
11
Lattice="5.979 -0.210 -0.269 -2.667 8.045 1.163 -2.667 -0.822 8.087" Properties=species:S:1:pos:R:3 pbc="T T T"
Sm 0.191 4.725 0.663
Pm 2.989 -0.105 -0.134
Pm -2.667 6.204 2.601
Pm -2.667 1.019 6.650
Sm 0.499 5.550 7.108
Sm 0.454 7.516 4.236
Sm 0.191 -0.502 4.745
Sm 0.454 2.288 8.318
Sm 0.146 1.463 1.874
Th 0.323 3.507 4.491
Sm -2.667 3.612 4.625
```



(3)
A plane-wave DFT calculation with GGA-PBE was carried out for PmSmTh2 after structural relaxation.

Summary:
Calculated volume: 131.94 Å³ per cell
Formation enthalpy at 0 K: 197 meV/atom
Calculated total energy: -0.432 Ry/atom
Crystal system: cubic

```
4
Lattice="-4.726 2.594 -1.895 -0.860 0.626 -5.614 -4.069 -3.036 -2.623" Properties=species:S:1:pos:R:3 pbc="T T T"
Pm 0.000 0.000 0.000
Th -7.241 0.138 -7.599
Th -2.414 0.046 -2.533
Sm -4.827 0.092 -5.066
```



(4)
A plane-wave DFT calculation with GGA-PBE was carried out for Pm2Sm5Th3 after structural relaxation.

Summary:
Calculated volume: 334.31 Å³ per cell
Formation enthalpy at 0 K: 52 meV/atom
Calculated total energy: -0.403 Ry/atom
Crystal system: monoclinic

```
10
Lattice="4.974 0.000 1.104 1.859 4.944 3.382 -0.279 -0.857 13.019" Properties=species:S:1:pos:R:3 pbc="T T T"
Th 1.335 2.217 5.744
Sm 5.722 4.582 9.495
Sm 2.180 1.711 13.697
Sm 4.374 2.376 3.807
Pm 2.768 -0.635 11.044
Pm 3.785 4.722 6.460
Sm 0.832 -0.495 8.009
Sm 0.000 0.000 0.000
Th 5.219 1.870 11.760
Th 3.277 2.043 8.752
```



(5)
A plane-wave DFT calculation with GGA-PBE was carried out for Pm3Sm6Th after structural relaxation.

Summary:
Calculated volume: 347.17 Å³ per cell
Formation enthalpy at 0 K: 282 meV/atom
Calculated total energy: -0.347 Ry/atom
Crystal system: monoclinic

```
10
Lattice="6.416 0.000 -2.604 -1.618 12.273 -3.987 -1.305 -2.781 5.991" Properties=species:S:1:pos:R:3 pbc="T T T"
Pm 0.000 0.000 0.000
Sm 3.841 -0.840 0.257
Sm -1.174 5.987 2.087
Sm -0.348 10.331 -0.857
Pm -0.342 7.027 -0.844
Sm 1.196 3.504 -1.278
Sm 4.667 3.504 -2.687
Sm 2.297 5.987 0.679
Pm 3.835 2.464 0.244
Th 2.399 6.136 -3.295
```



(6)
A plane-wave DFT calculation with GGA-PBE was carried out for Pm3Sm8Th3 after structural relaxation.

Summary:
Calculated volume: 477.08 Å³ per cell
Formation enthalpy at 0 K: 176 meV/atom
Calculated total energy: -0.377 Ry/atom
Crystal system: monoclinic

```
14
Lattice="5.575 0.000 1.121 2.524 9.075 1.877 1.027 -2.059 9.325" Properties=species:S:1:pos:R:3 pbc="T T T"
Sm 5.228 5.351 2.855
Sm 4.659 7.320 5.684
Pm 4.563 3.508 6.161
Th 2.788 0.000 0.560
Sm 7.245 5.764 7.249
Sm 2.228 3.830 3.349
Sm 3.899 1.665 9.467
Pm 5.139 1.537 3.331
Th 1.256 -0.361 8.189
Sm 4.468 -0.304 6.638
Th 2.296 7.377 3.013
Pm 3.988 5.479 8.992
Sm 1.882 1.252 5.074
Sm 6.899 3.186 8.974
```